1.
A plane-wave DFT calculation with GGA-PBE was carried out for a relaxed LaPt2Se crystal.

Unit cell a=4.9105 b=4.9105 c=4.9105 alpha=120.70 beta=110.55 gamma=97.96
With the nearest neighbours (Å) after each atom.
Sites, in units of the cell vectors:
Pt: 0.7050 0.2050 0.5000  2 Se 2.56
La: 0.2363 0.7363 0.5000  5 Pt 2.95-3.20, 4 Se 2.97-3.30
Pt: 0.9770 0.9770 0.0000  1 Se 2.55
Se: 0.5818 0.5818 0.0000  3 Pt 2.55-2.56

Results
space group: Imm2
formation energy from raw total energies: -0.80 eV per atom
total magnetization: 0.00 μB per cell

2.
A plane-wave DFT calculation with GGA-PBE was carried out for a relaxed La2PtSe crystal.

Unit cell a=7.9757 b=7.9757 c=7.9757 alpha=151.96 beta=151.41 gamma=40.48
With the nearest neighbours (Å) after each atom.
Sites, in units of the cell vectors:
Pt: 0.5450 0.5450 0.0000  6 La 3.02-3.03
Se: 0.2930 0.7930 0.5000  6 La 3.09-3.20
La: 0.9617 0.9617 0.0000  4 Pt 3.03, 2 Se 3.20
La: 0.7003 0.2003 0.5000  2 Pt 3.02, 4 Se 3.09

Results
space group: Imm2
formation energy from raw total energies: -1.37 eV per atom
total magnetization: 0.00 μB per cell

3.
A plane-wave DFT calculation with GGA-PBE was carried out for a relaxed LaPtSe2 crystal.

Unit cell a=3.9564 b=3.9564 c=6.0291 alpha=90.00 beta=90.00 gamma=90.00
With the nearest neighbours (Å) after each atom.
Sites, in units of the cell vectors:
Se: 0.5000 0.5000 0.2902  1 Pt 2.67, 4 La 2.96
Pt: 0.5000 0.5000 0.8470  5 Se 2.67-2.82
Se: 0.0000 0.0000 0.9120  1 La 2.78, 4 Pt 2.82
La: 0.0000 0.0000 0.4508  5 Se 2.78-2.96

Results
space group: P4mm
ΔE to the lowest computed polymorph: 0.181 eV/atom
formation energy from raw total energies: -1.01 eV per atom
total magnetization: 0.00 μB per cell

4.
A plane-wave DFT calculation with GGA-PBE was carried out for a relaxed LaPtSe2 crystal.

Unit cell a=5.0251 b=5.0251 c=5.0251 alpha=60.00 beta=60.00 gamma=60.00
With the nearest neighbours (Å) after each atom.
Sites, in units of the cell vectors:
Se: 0.2500 0.2500 0.2500  4 Se 3.08, 4 La 3.08
Pt: 0.7500 0.7500 0.7500  4 La 3.08, 4 Se 3.08
Se: 0.0000 0.0000 0.0000  4 Pt 3.08, 4 Se 3.08
La: 0.5000 0.5000 0.5000  4 Se 3.08, 4 Pt 3.08

Results
space group: F-43m
ΔE to the lowest computed polymorph: 0.554 eV/atom
formation energy from raw total energies: -0.64 eV per atom
total magnetization: 0.00 μB per cell